Entry 1:
## Pr3Nd3DyS8 (PBE-GGA)

Data for a relaxed structure of Pr3Nd3DyS8.

As for the raw formation energy: -2.048 eV/atom. The calculated volume is 25.44 Å³ per atom. As for the crystal system: trigonal. The total energy comes out at -96.99 eV per formula unit.

Cell lengths 8.1502, 8.1502, 8.1502 Å; angles 59.87, 59.87, 59.87 degrees
Last column: nearest neighbours and their distance in Å.
Fractional positions:
Pr1 0.0000 0.5000 0.5000  6 S 2.89
Pr2 0.5000 0.0000 0.5000  6 S 2.89
Pr3 0.5000 0.5000 0.0000  6 S 2.89
Nd1 0.0000 0.0000 0.5000  6 S 2.87
Nd2 0.0000 0.5000 0.0000  6 S 2.87
Nd3 0.5000 0.0000 0.0000  6 S 2.87
Dy1 0.5000 0.5000 0.5000  6 S 2.78
S1 0.2490 0.2490 0.2490  3 Nd 2.87, 3 Pr 2.89
S2 0.2564 0.7417 0.7417  1 Dy 2.78, 2 Nd 2.87, 2 Pr 2.89
S3 0.2583 0.2583 0.7436  1 Dy 2.78, 2 Nd 2.87, 2 Pr 2.89
S4 0.2583 0.7436 0.2583  1 Dy 2.78, 2 Nd 2.87, 2 Pr 2.89
S5 0.7417 0.2564 0.7417  1 Dy 2.78, 2 Nd 2.87, 2 Pr 2.89
S6 0.7417 0.7417 0.2564  1 Dy 2.78, 2 Nd 2.87, 2 Pr 2.89
S7 0.7436 0.2583 0.2583  1 Dy 2.78, 2 Nd 2.87, 2 Pr 2.89
S8 0.7510 0.7510 0.7510  3 Nd 2.87, 3 Pr 2.89

---

Entry 2:
## Ta2CuOs (PBE-GGA)

Data for a relaxed structure of Ta2CuOs.

The energy of formation from the pure elements comes out at -1.84 kcal/mol of atoms. The calculated volume is 15.72 Å³ per atom. As for the crystal system: tetragonal. The total energy comes out at -39.35 eV per formula unit.

Cell lengths 4.7379, 4.7379, 4.7379 Å; angles 128.80, 128.80, 75.33 degrees
Last column: nearest neighbours and their distance in Å.
Fractional positions:
Ta1 0.2500 0.7500 0.5000  4 Os 2.78, 4 Cu 2.78, 4 Ta 2.90
Ta2 0.7500 0.2500 0.5000  4 Os 2.78, 4 Cu 2.78, 4 Ta 2.90
Cu1 0.0000 0.0000 0.0000  8 Ta 2.78, 4 Os 2.90
Os1 0.5000 0.5000 0.0000  8 Ta 2.78, 4 Cu 2.90

---

Entry 3:
## CaNi4Br (PBE-GGA)

Data for a relaxed structure of CaNi4Br.

As for the raw formation energy: 0.130 eV/atom. The calculated volume is 15.36 Å³ per atom. As for the crystal system: cubic. The total energy comes out at -26.02 eV per formula unit.

Cell lengths 5.0698, 5.0698, 5.0698 Å; angles 60.00, 60.00, 60.00 degrees
Last column: nearest neighbours and their distance in Å.
Fractional positions:
Ca1 0.0000 0.0000 0.0000  12 Ni 2.97, 4 Br 3.10
Ni1 0.1223 0.6259 0.6259  6 Ni 2.52-2.55
Ni2 0.6259 0.1223 0.6259  6 Ni 2.52-2.55
Ni3 0.6259 0.6259 0.1223  6 Ni 2.52-2.55
Ni4 0.6259 0.6259 0.6259  6 Ni 2.52-2.55
Br1 0.2500 0.2500 0.2500  12 Ni 2.97, 4 Ca 3.10

---

Entry 4:
## MnSi2Ni7Ge2 (PBE-GGA)

Data for a relaxed structure of MnSi2Ni7Ge2.

As for the raw formation energy: -0.100 eV/atom. The calculated volume is 12.92 Å³ per atom. As for the crystal system: monoclinic. The total energy comes out at -70.92 eV per formula unit.

Cell lengths 3.4619, 3.4619, 13.1595 Å; angles 97.41, 97.41, 90.02 degrees
Last column: nearest neighbours and their distance in Å.
Fractional positions:
Mn1 0.0000 0.0000 0.0000  12 Ni 2.45-2.54
Si1 0.3705 0.3705 0.7381  5 Ni 2.30-2.31
Si2 0.6295 0.6295 0.2619  5 Ni 2.30-2.31
Ni1 0.0711 0.5708 0.1441  2 Si 2.30-2.31, 6 Ni 2.45-2.54, 2 Mn 2.54
Ni2 0.2800 0.2800 0.5604  1 Si 2.30, 1 Ge 2.39
Ni3 0.4292 0.9289 0.8559  2 Si 2.30-2.31, 6 Ni 2.45-2.54, 2 Mn 2.54
Ni4 0.5000 0.5000 0.0000  4 Mn 2.45, 8 Ni 2.54
Ni5 0.5708 0.0711 0.1441  2 Si 2.30-2.31, 6 Ni 2.45-2.54, 2 Mn 2.54
Ni6 0.7200 0.7200 0.4396  1 Si 2.30, 1 Ge 2.39
Ni7 0.9289 0.4292 0.8559  2 Si 2.30-2.31, 6 Ni 2.45-2.54, 2 Mn 2.54
Ge1 0.1885 0.1885 0.3760  5 Ni 2.39-2.58
Ge2 0.8115 0.8115 0.6240  5 Ni 2.39-2.58

---

Entry 5:
## Er6Hg5Ru (PBE-GGA)

Data for a relaxed structure of Er6Hg5Ru.

The energy of formation from the pure elements comes out at -11.37 kcal/mol of atoms. The calculated volume is 24.04 Å³ per atom. As for the crystal system: orthorhombic. The total energy comes out at -44.08 eV per formula unit.

Cell lengths 8.8606, 8.8606, 8.8606 Å; angles 146.40, 130.85, 60.86 degrees
Last column: nearest neighbours and their distance in Å.
Fractional positions:
Er1 0.0789 0.3436 0.7354  1 Ru 2.95, 7 Hg 3.09-3.22
Er2 0.2277 0.0000 0.2277  2 Ru 3.06, 6 Hg 3.22-3.25, 1 Er 3.36
Er3 0.3918 0.6564 0.7354  1 Ru 2.95, 7 Hg 3.09-3.22
Er4 0.6082 0.3436 0.2646  1 Ru 2.95, 7 Hg 3.09-3.22
Er5 0.7723 0.0000 0.7723  2 Ru 3.06, 6 Hg 3.22-3.25, 1 Er 3.36
Er6 0.9211 0.6564 0.2646  1 Ru 2.95, 7 Hg 3.09-3.22
Hg1 0.1795 0.1795 0.0000  8 Er 3.11-3.22, 2 Hg 3.49
Hg2 0.3343 0.8343 0.5000  8 Er 3.22-3.23, 4 Hg 3.49-3.60
Hg3 0.5000 0.5000 0.0000  8 Er 3.09-3.25
Hg4 0.6657 0.1657 0.5000  8 Er 3.22-3.23, 4 Hg 3.49-3.60
Hg5 0.8205 0.8205 0.0000  8 Er 3.11-3.22, 2 Hg 3.49
Ru1 0.0000 0.5000 0.5000  8 Er 2.95-3.06

---

Entry 6:
## AlPt2Rh (PBE-GGA)

Data for a relaxed structure of AlPt2Rh.

The energy of formation from the pure elements comes out at -12.85 kcal/mol of atoms. The calculated volume is 14.82 Å³ per atom. As for the crystal system: monoclinic. The total energy comes out at -25.41 eV per formula unit.

Cell lengths 4.8489, 4.8489, 4.7004 Å; angles 104.38, 104.38, 33.73 degrees
Last column: nearest neighbours and their distance in Å.
Fractional positions:
Al1 0.0000 0.0000 0.0000  2 Rh 2.57, 6 Pt 2.60-2.75, 2 Al 2.81
Pt1 0.2636 0.2636 0.7652  2 Al 2.60, 4 Rh 2.74-2.77, 5 Pt 2.77-2.86
Pt2 0.4951 0.4951 0.4940  4 Al 2.73-2.75, 3 Rh 2.74-2.81, 5 Pt 2.77-2.86
Rh1 0.7309 0.7309 0.2440  2 Al 2.57, 7 Pt 2.74-2.81, 2 Rh 2.81

---

Entry 7:
## Ni3W (PBE-GGA)

Data for a relaxed structure of Ni3W.

The energy of formation from the pure elements comes out at 3.49 kcal/mol of atoms. The calculated volume is 12.58 Å³ per atom. As for the crystal system: hexagonal. The total energy comes out at -29.69 eV per formula unit.

Cell lengths 2.6616, 2.6616, 8.2028 Å; angles 90.00, 90.00, 120.00 degrees
Last column: nearest neighbours and their distance in Å.
Fractional positions:
Ni1 0.0000 0.0000 0.0000  12 Ni 2.51-2.66
Ni2 0.6667 0.3333 0.2426  9 Ni 2.51-2.66, 3 W 2.61
Ni3 0.6667 0.3333 0.7574  9 Ni 2.51-2.66, 3 W 2.61
W1 0.0000 0.0000 0.5000  6 Ni 2.61, 6 W 2.66

---

Entry 8:
## La2Bi2Au (PBE-GGA)

Data for a relaxed structure of La2Bi2Au.

The energy of formation from the pure elements comes out at -15.10 kcal/mol of atoms. The calculation puts the offset from the most stable computed form at 0.041 eV/atom. The calculated volume is 31.67 Å³ per atom. As for the crystal system: tetragonal. The total energy comes out at -24.17 eV per formula unit.

Cell lengths 8.4395, 8.4395, 4.4468 Å; angles 90.00, 90.00, 90.00 degrees
Last column: nearest neighbours and their distance in Å.
Fractional positions:
La1 0.1549 0.3451 0.0000  6 Bi 3.17-3.44
La2 0.3451 0.8451 0.0000  6 Bi 3.17-3.44
La3 0.6549 0.1549 0.0000  6 Bi 3.17-3.44
La4 0.8451 0.6549 0.0000  6 Bi 3.17-3.44
Bi1 0.1563 0.6563 0.5000  6 La 3.17-3.44, 2 Au 3.19
Bi2 0.3437 0.1563 0.5000  6 La 3.17-3.44, 2 Au 3.19
Bi3 0.6563 0.8437 0.5000  6 La 3.17-3.44, 2 Au 3.19
Bi4 0.8437 0.3437 0.5000  6 La 3.17-3.44, 2 Au 3.19
Au1 0.0000 0.0000 0.5000  4 Bi 3.19
Au2 0.5000 0.5000 0.5000  4 Bi 3.19